{"formula": "Dy6BiTe3As2", "functional": "PBE", "state": "optimized geometry", "formation_energy_uncorrected_ev_per_fu": -16.20, "rho_g_cm3": 8.4, "final_energy_ha_per_atom": -0.2034, "m_tot_mub_per_fu": 0.0, "dos_at_fermi_per_ev_atom": 0.392, "space_group": "No. 12", "lattice": [[-3.034, 0.148, 2.995], [5.488, -3.488, 5.732], [2.878, 9.208, -0.579]], "species": ["Dy", "Te", "Dy", "Dy", "Dy", "Bi", "Dy", "As", "Te", "Dy", "Te", "As"], "fractional_positions": [[0.671, 0.115, 0.342], [0.500, 0.500, 0.000], [0.013, 0.258, 0.027], [0.325, 0.432, 0.649], [0.987, 0.742, 0.973], [0.500, 0.000, 0.000], [0.675, 0.568, 0.351], [0.169, 0.337, 0.337], [0.838, 0.166, 0.677], [0.329, 0.885, 0.658], [0.162, 0.834, 0.323], [0.831, 0.663, 0.663]]}